DFT (PBE+U) results for crystalline LaMnO3 at its relaxed geometry.

Cell lengths 5.858, 7.792, 5.577 Å; angles 90.00, 90.00, 90.00 degrees
Fractional positions:
La: 0.057 0.250 0.011
La: 0.443 0.750 0.511
La: 0.557 0.250 0.489
La: 0.943 0.750 0.989
Mn: 0.000 0.000 0.500
Mn: 0.000 0.500 0.500
Mn: 0.500 0.000 0.000
Mn: 0.500 0.500 0.000
O: 0.021 0.750 0.413
O: 0.190 0.544 0.781
O: 0.190 0.956 0.781
O: 0.310 0.044 0.281
O: 0.310 0.456 0.281
O: 0.479 0.250 0.913
O: 0.521 0.750 0.087
O: 0.690 0.544 0.719
O: 0.690 0.956 0.719
O: 0.810 0.044 0.219
O: 0.810 0.456 0.219
O: 0.979 0.250 0.587

Computed properties:
- electronic total energy (eV per atom) = -8.047
- symmetry = No. 62
- mass density (g/cm³) = 6.31
- total magnetization (μB/f.u.) = 4.00